Entry from the Alexandria database: FeBiPbO4 after structural relaxation (PBE+U).

abc: 5.9223 5.9223 7.5211
angles: 90.00 90.00 113.88
Last column: nearest neighbours and their distance in Å.
Element x y z (fractional)
O 0.2129 0.2221 0.7500  1 Fe 1.98, 1 Bi 2.21
O 0.7779 0.7871 0.7500  1 Fe 1.98, 1 Bi 2.21
O 0.2447 0.7553 0.4588  1 Fe 1.86
O 0.2447 0.7553 0.0412  1 Fe 1.86
O 0.2221 0.2129 0.2500  1 Fe 1.98, 1 Bi 2.21
O 0.7553 0.2447 0.5412  1 Fe 1.86
O 0.7871 0.7779 0.2500  1 Fe 1.98, 1 Bi 2.21
O 0.7553 0.2447 0.9588  1 Fe 1.86
Fe 0.1446 0.8554 0.2500  4 O 1.86-1.98
Fe 0.8554 0.1446 0.7500  4 O 1.86-1.98
Bi 0.8332 0.1668 0.2500  4 O 2.21-2.32
Bi 0.1668 0.8332 0.7500  4 O 2.21-2.32
Pb 0.5000 0.5000 0.5000  6 O 2.55-2.62
Pb 0.5000 0.5000 0.0000  6 O 2.55-2.62

Values from the calculation:
* crystal system: orthorhombic
* VASP energy: -82.3 eV for the cell shown
* magnetic moment: 4.99 μB/f.u.
* space group: No. 63